Material: LiCrSi2
Method: DFT, PBE
State: optimized geometry

Unit cell a=2.5205 b=2.5205 c=8.2963 alpha=90.00 beta=90.00 gamma=90.00
With the nearest neighbours (Å) after each atom.
Space group P4mm (No. 99)
One atom of each set of equivalent atoms:
Li 0.0000 0.0000 0.0000 x1  4 Li 2.52, 4 Si 2.71
Cr 0.5000 0.5000 0.7333 x1  4 Si 2.50, 4 Cr 2.52
Si 0.0000 0.0000 0.5218 x1  4 Cr 2.50, 4 Si 2.52
Si 0.5000 0.5000 0.2458 x1  4 Si 2.52, 4 Li 2.71

Material: LiCrSi2
Method: DFT, PBE
State: optimized geometry

Unit cell a=2.5044 b=4.3493 c=4.4423 alpha=90.00 beta=90.00 gamma=90.00
With the nearest neighbours (Å) after each atom.
Space group Pmm2 (No. 25)
One atom of each set of equivalent atoms:
Li 0.0000 0.0000 0.0000 x1  2 Li 2.50, 8 Si 2.55-2.62, 2 Cr 2.61
Cr 0.0000 0.5000 0.3261 x1  2 Cr 2.50, 8 Si 2.52-2.63, 2 Li 2.61
Si 0.5000 0.0000 0.4997 x1  4 Si 2.50-2.63, 4 Li 2.55, 4 Cr 2.63
Si 0.5000 0.5000 0.8330 x1  4 Si 2.50-2.63, 4 Cr 2.52-2.58, 4 Li 2.62

Material: LiCrSi
Method: DFT, PBE
State: optimized geometry

Unit cell a=2.5035 b=2.5035 c=12.4234 alpha=90.00 beta=90.00 gamma=90.00
With the nearest neighbours (Å) after each atom.
Space group I4mm (No. 107)
One atom of each set of equivalent atoms:
Li 0.0000 0.0000 0.0000 x2  4 Li 2.50, 4 Si 2.76
Cr 0.0000 0.0000 0.3154 x2  4 Cr 2.50, 4 Si 2.52
Si 0.0000 0.0000 0.6706 x2  4 Si 2.50, 4 Cr 2.52, 4 Li 2.76

Material: LiCrSi2
Method: DFT, PBE
State: optimized geometry

Unit cell a=2.5471 b=3.6585 c=5.2465 alpha=90.00 beta=90.00 gamma=90.00
With the nearest neighbours (Å) after each atom.
Space group Pmmm (No. 47)
One atom of each set of equivalent atoms:
Li 0.0000 0.0000 0.0000 x1  2 Li 2.55, 8 Si 2.61, 2 Cr 2.62
Cr 0.0000 0.0000 0.5000 x1  2 Cr 2.55, 8 Si 2.56, 2 Li 2.62
Si 0.5000 0.5000 0.2599 x2  4 Si 2.52-2.73, 4 Cr 2.56, 4 Li 2.61

DOS at the Fermi energy, record by record: 1.7; 2.0; 5.2; 2.0 states/eV per cell
Total DFT energy (no corrections), record by record: -21.365; -22.635; -33.140; -22.908 eV per cell
Formation energy (no corrections), record by record: 1.018; -0.252; 0.390; -0.525 eV/f.u.